(1)
Al2SbOs | SCAN | single point on PBEsol structure Values from VASP.

Structure (Quantum ESPRESSO input):
```
&SYSTEM
  ibrav = 0, nat = 4, ntyp = 3
/
ATOMIC_SPECIES
Sb 121.76 Sb.upf
Os 190.23 Os.upf
Al 26.98 Al.upf
ATOMIC_POSITIONS crystal
Sb 0.500 0.500 0.500
Os 0.500 0.500 0.000
Al 0.000 0.000 0.183
Al 0.000 0.000 0.817
CELL_PARAMETERS angstrom
3.015 0.000 0.000
0.000 3.015 0.000
0.000 0.000 7.790
```

Values from the calculation:
raw formation energy: -0.193 eV per atom

(2)
ScHg2Os | SCAN | single point on PBEsol structure Values from VASP.

Structure (Quantum ESPRESSO input):
```
&SYSTEM
  ibrav = 0, nat = 4, ntyp = 3
/
ATOMIC_SPECIES
Hg 200.59 Hg.upf
Os 190.23 Os.upf
Sc 44.96 Sc.upf
ATOMIC_POSITIONS crystal
Hg 0.000 0.000 0.000
Os 0.500 0.500 0.000
Sc 0.250 0.750 0.500
Hg 0.750 0.250 0.500
CELL_PARAMETERS angstrom
4.107 0.000 0.000
0.000 4.107 0.000
-2.053 -2.053 4.220
```

Values from the calculation:
formation energy: 0.3 eV/f.u.

(3)
NaLa3Ni | SCAN | single point on PBEsol structure Values from VASP.

Structure (Quantum ESPRESSO input):
```
&SYSTEM
  ibrav = 0, nat = 5, ntyp = 3
/
ATOMIC_SPECIES
La 138.91 La.upf
Na 22.99 Na.upf
Ni 58.69 Ni.upf
ATOMIC_POSITIONS crystal
La 0.000 0.000 0.500
La 0.000 0.500 0.000
Na 0.500 0.500 0.500
La 0.500 0.000 0.000
Ni 0.000 0.000 0.000
CELL_PARAMETERS angstrom
5.517 0.000 0.000
0.000 5.517 0.000
0.000 0.000 5.517
```

Values from the calculation:
formation energy: 0.0 eV/f.u.

(4)
HfNiPb3 | SCAN | single point on PBEsol structure Values from VASP.

Structure (Quantum ESPRESSO input):
```
&SYSTEM
  ibrav = 0, nat = 5, ntyp = 3
/
ATOMIC_SPECIES
Pb 207.20 Pb.upf
Ni 58.69 Ni.upf
Hf 178.49 Hf.upf
ATOMIC_POSITIONS crystal
Pb 0.500 0.000 0.000
Ni 0.500 0.500 0.500
Pb 0.000 0.500 0.000
Hf 0.000 0.000 0.000
Pb 0.000 0.000 0.500
CELL_PARAMETERS angstrom
-5.066 -1.240 1.772
0.683 -5.200 -1.687
2.053 -1.332 4.936
```

Values from the calculation:
formation energy: 4.9 eV/f.u.

(5)
K4ZnBr | SCAN | single point on PBEsol structure Values from VASP.

Structure (Quantum ESPRESSO input):
```
&SYSTEM
  ibrav = 0, nat = 6, ntyp = 3
/
ATOMIC_SPECIES
Br 79.90 Br.upf
Zn 65.41 Zn.upf
K 39.10 K.upf
ATOMIC_POSITIONS crystal
Br 0.000 0.000 0.000
Zn 0.750 0.750 0.750
K 0.374 0.877 0.374
K 0.374 0.374 0.877
K 0.877 0.374 0.374
K 0.374 0.374 0.374
CELL_PARAMETERS angstrom
7.649 0.000 0.000
3.824 6.624 0.000
3.824 2.208 6.245
```

Values from the calculation:
raw formation energy: -0.043 eV per atom

(6)
LaTlP2S6 | SCAN | single point on PBEsol structure Values from VASP.

Structure (Quantum ESPRESSO input):
```
&SYSTEM
  ibrav = 0, nat = 40, ntyp = 4
/
ATOMIC_SPECIES
La 138.91 La.upf
Tl 204.38 Tl.upf
P 30.97 P.upf
S 32.06 S.upf
ATOMIC_POSITIONS crystal
La 0.392 0.904 0.650
Tl 0.097 0.874 0.130
Tl 0.597 0.626 0.870
P 0.620 0.767 0.208
S 0.517 0.681 0.446
S 0.811 0.567 0.590
S 0.788 0.360 0.781
S 0.975 0.371 0.114
La 0.608 0.096 0.350
P 0.880 0.267 0.208
S 0.689 0.067 0.590
S 0.475 0.129 0.886
P 0.898 0.747 0.673
S 0.795 0.088 0.126
S 0.310 0.639 0.672
S 0.311 0.933 0.410
P 0.120 0.733 0.792
Tl 0.403 0.374 0.130
S 0.017 0.819 0.554
S 0.712 0.860 0.781
S 0.810 0.861 0.328
S 0.190 0.139 0.672
S 0.025 0.629 0.886
S 0.525 0.871 0.114
Tl 0.903 0.126 0.870
S 0.189 0.433 0.410
La 0.892 0.596 0.350
La 0.108 0.404 0.650
P 0.102 0.253 0.327
S 0.483 0.319 0.554
S 0.705 0.588 0.126
S 0.288 0.140 0.219
S 0.983 0.181 0.446
P 0.398 0.753 0.327
P 0.380 0.233 0.792
S 0.205 0.912 0.874
S 0.690 0.361 0.328
S 0.212 0.640 0.219
S 0.295 0.412 0.874
P 0.602 0.247 0.673
CELL_PARAMETERS angstrom
7.463 0.000 0.000
0.000 11.249 -0.020
0.000 -3.976 11.149
```

Values from the calculation:
raw formation energy: -1.002 eV per atom

(7)
Mn2CuTc | SCAN | single point on PBEsol structure Values from VASP.

Structure (Quantum ESPRESSO input):
```
&SYSTEM
  ibrav = 0, nat = 4, ntyp = 3
/
ATOMIC_SPECIES
Cu 63.55 Cu.upf
Tc 98.00 Tc.upf
Mn 54.94 Mn.upf
ATOMIC_POSITIONS crystal
Cu 0.500 0.500 0.000
Tc 0.000 0.000 0.000
Mn 0.250 0.750 0.500
Mn 0.750 0.250 0.500
CELL_PARAMETERS angstrom
-2.425 0.706 -2.683
-2.314 -2.481 1.439
0.923 3.374 2.584
```

Values from the calculation:
formation energy: 0.1 eV/f.u.

(8)
NaBC2 | SCAN | single point on PBEsol structure Values from VASP.

Structure (Quantum ESPRESSO input):
```
&SYSTEM
  ibrav = 0, nat = 8, ntyp = 3
/
ATOMIC_SPECIES
C 12.01 C.upf
B 10.81 B.upf
Na 22.99 Na.upf
ATOMIC_POSITIONS crystal
C 0.625 0.375 0.750
C 0.125 0.375 0.750
C 0.625 0.375 0.250
B 0.750 0.250 0.500
Na 0.250 0.750 0.500
Na 0.000 0.000 0.000
B 0.500 0.500 0.000
C 0.625 0.875 0.250
CELL_PARAMETERS angstrom
-1.570 -3.428 -0.051
3.396 -1.548 -0.540
-0.262 2.113 5.458
```

Values from the calculation:
formation energy: 3.4 eV/f.u.